Crystalline TaGeSbI2 at its relaxed geometry, computed with GGA-PBE.

Calculated values
Fermi-level density of states, states/eV/f.u.: 4.58
Crystal system: tetragonal
Space group: No. 123
Total energy, eV per atom: -4.041
Distance to the lowest polymorph of the same formula, meV per atom: 0.0
Formation energy from raw total energies, eV per atom: 0.698
Size of the total moment, μB per cell: 1.44

a b c (Å): 5.451 5.451 5.567
angles (deg): 90.00 90.00 90.00
Each line ends with the local moment (μB).
Fractional positions:
I 0.000 0.500 0.000  -0.02
Sb 0.000 0.000 0.500  -0.09
Ta 0.000 0.000 0.000  0.38
Ge 0.500 0.500 0.500  0.45
I 0.500 0.000 0.000  -0.02